Entry 1:
CdSb2Pb after structural relaxation, computed with GGA-PBE.

The spin magnetization comes out at 0.00 μB per formula unit. For the uncorrected energy, the calculation gives -3.11 eV per atom. The calculation puts the uncorrected formation energy at 106 meV per atom. Its symmetry is No. 99. Its density of states at the Fermi level is 0.682 states/eV per atom. As for the calculated volume: 116.3 Å³ per cell.

Structure (extended XYZ):
```
4
Lattice="-0.547 3.984 0.609 -2.527 0.140 -3.183 -5.428 -1.395 4.248" Properties=species:S:1:pos:R:3 pbc="T T T"
Sb -0.327 -0.084 0.256
Cd -2.735 -0.703 2.141
Pb -5.380 1.074 1.721
Sb -2.774 1.744 -0.319
```

***

Entry 2:
Cd2Sb2Pb after structural relaxation, computed with GGA-PBE.

The spin magnetization comes out at 0.00 μB per formula unit. For the uncorrected energy, the calculation gives -2.73 eV per atom. The calculation puts the uncorrected formation energy at 24 meV per atom. Its offset from the most stable computed form is 0.00 eV/f.u. Its symmetry is No. 11. Its density of states at the Fermi level is 0.348 states/eV per atom. As for the calculated volume: 304.8 Å³ per cell.

Structure (extended XYZ):
```
10
Lattice="4.774 -0.001 0.000 -0.001 5.828 0.064 0.000 -0.090 10.953" Properties=species:S:1:pos:R:3 pbc="T T T"
Sb 3.580 4.322 6.168
Sb 1.193 1.385 9.476
Cd 3.580 1.451 0.243
Sb 1.193 1.416 4.849
Sb 3.580 4.353 1.541
Pb 3.580 1.396 7.279
Cd 1.193 4.287 10.774
Pb 1.193 4.341 3.738
Cd 3.580 1.433 3.187
Cd 1.193 4.304 7.830
```

***

Entry 3:
CdSbPb2 after structural relaxation, computed with GGA-PBE.

The spin magnetization comes out at 0.00 μB per formula unit. For the uncorrected energy, the calculation gives -3.07 eV per atom. The calculation puts the uncorrected formation energy at 44 meV per atom. Its symmetry is No. 11. Its density of states at the Fermi level is 0.400 states/eV per atom. As for the calculated volume: 243.3 Å³ per cell.

Structure (extended XYZ):
```
8
Lattice="-2.972 -3.100 -0.819 1.805 -3.168 5.438 -6.649 5.894 1.827" Properties=species:S:1:pos:R:3 pbc="T T T"
Pb -4.582 -0.551 1.212
Pb 0.177 -2.899 4.495
Pb -7.994 2.525 1.951
Pb -3.234 0.177 5.233
Cd -6.451 0.385 4.451
Cd -1.366 -0.759 1.995
Sb -4.759 2.275 2.827
Sb -3.058 -2.649 3.619
```

***

Entry 4:
CdSb2Pb after structural relaxation, computed with GGA-PBE.

The spin magnetization comes out at 0.00 μB per formula unit. For the uncorrected energy, the calculation gives -3.14 eV per atom. The calculation puts the uncorrected formation energy at 80 meV per atom. Its symmetry is No. 6. Its density of states at the Fermi level is 0.484 states/eV per atom. As for the calculated volume: 117.2 Å³ per cell.

Structure (extended XYZ):
```
4
Lattice="-5.277 -0.516 -2.881 0.560 -3.176 -0.457 -2.711 -1.186 5.177" Properties=species:S:1:pos:R:3 pbc="T T T"
Sb -0.208 -0.805 0.525
Sb -2.903 -0.917 -0.837
Cd -1.506 -1.729 3.067
Pb -3.886 -3.609 1.444
```

***

Entry 5:
CdSb2Pb2 after structural relaxation, computed with GGA-PBE.

The spin magnetization comes out at 0.00 μB per formula unit. For the uncorrected energy, the calculation gives -3.32 eV per atom. The calculation puts the uncorrected formation energy at -8 meV per atom. Its offset from the most stable computed form is 0.00 eV/f.u. Its symmetry is No. 14. Its density of states at the Fermi level is 0.067 states/eV per atom. As for the calculated volume: 633.1 Å³ per cell.

Structure (extended XYZ):
```
20
Lattice="-2.769 -0.431 -7.204 4.878 -6.675 -1.476 -7.082 -5.886 3.213" Properties=species:S:1:pos:R:3 pbc="T T T"
Pb -4.106 -10.657 -1.770
Sb -2.743 -2.829 -0.727
Pb 0.631 -2.275 -0.130
Pb 0.194 -7.527 -3.689
Sb -2.375 -7.855 -0.675
Pb -1.707 -7.035 -7.135
Sb 1.567 -7.251 -6.482
Sb -6.166 -8.363 -3.119
Cd -0.230 -9.781 -0.489
Sb 1.193 -4.628 -2.348
Sb -2.230 -10.163 -4.740
Pb -0.867 -2.334 -3.697
Sb -2.598 -5.137 -4.792
Sb -6.540 -5.740 1.015
Cd -3.273 -7.727 -3.589
Pb -5.167 -5.465 -1.778
Pb -5.604 -10.717 -5.337
Cd -1.700 -5.264 -1.878
Pb -3.266 -5.956 1.668
Cd -4.743 -3.211 -4.978
```

***

Entry 6:
CdSb2Pb after structural relaxation, computed with GGA-PBE.

The spin magnetization comes out at 0.00 μB per formula unit. For the uncorrected energy, the calculation gives -3.08 eV per atom. The calculation puts the uncorrected formation energy at 136 meV per atom. Its symmetry is No. 225. Its density of states at the Fermi level is 0.549 states/eV per atom. As for the calculated volume: 112.4 Å³ per cell.

Structure (extended XYZ):
```
4
Lattice="0.000 3.830 3.830 3.830 0.000 3.830 3.830 3.830 0.000" Properties=species:S:1:pos:R:3 pbc="T T T"
Cd 0.000 0.000 0.000
Sb 5.745 5.745 5.745
Pb 3.830 3.830 3.830
Sb 1.915 1.915 1.915
```

***

Entry 7:
Cd12SbPb16 after structural relaxation, computed with GGA-PBE.

The spin magnetization comes out at 0.00 μB per formula unit. For the uncorrected energy, the calculation gives -2.53 eV per atom. The calculation puts the uncorrected formation energy at 40 meV per atom. Its symmetry is No. 8. Its density of states at the Fermi level is 0.515 states/eV per atom. As for the calculated volume: 818.5 Å³ per cell.

Structure (extended XYZ):
```
29
Lattice="-9.968 1.924 -0.336 2.360 -5.960 -7.880 2.230 -4.806 8.667" Properties=species:S:1:pos:R:3 pbc="T T T"
Cd -5.293 -5.330 0.314
Pb -2.540 -3.239 -5.407
Pb -0.855 -5.084 -2.979
Pb -5.905 -0.692 3.205
Pb -1.997 -2.912 -0.220
Pb 1.579 -3.989 -5.051
Pb -0.224 -8.424 -2.060
Pb -7.428 -3.818 2.348
Pb -0.695 -4.643 3.716
Pb -6.519 1.190 -0.096
Cd -0.892 -6.042 -6.394
Cd -5.829 -4.262 -5.072
Cd -1.075 -1.412 3.100
Cd -2.964 -6.819 -1.111
Sb -4.099 -4.106 -2.407
Pb -3.794 -3.425 2.628
Pb -5.586 -2.058 -0.084
Cd 1.806 -8.298 0.641
Cd -5.730 -3.479 5.253
Pb 2.421 -6.015 -1.890
Cd 1.368 -6.509 5.645
Pb -7.588 -4.041 -8.178
Pb -6.062 -7.130 -2.457
Cd 1.246 -2.896 1.680
Pb -5.725 -1.202 -3.458
Cd -8.613 -1.105 -1.669
Cd -0.960 -5.020 7.069
Cd -2.985 -6.531 1.947
Pb -0.192 -5.729 0.424
```

***

Entry 8:
CdSb2Pb after structural relaxation, computed with GGA-PBE.

The spin magnetization comes out at 0.00 μB per formula unit. For the uncorrected energy, the calculation gives -3.10 eV per atom. The calculation puts the uncorrected formation energy at 117 meV per atom. Its symmetry is No. 65. Its density of states at the Fermi level is 0.368 states/eV per atom. As for the calculated volume: 111.3 Å³ per cell.

Structure (extended XYZ):
```
4
Lattice="3.410 0.059 0.000 -0.802 3.315 0.000 0.000 0.000 9.809" Properties=species:S:1:pos:R:3 pbc="T T T"
Pb 1.304 1.687 7.357
Sb 0.000 0.000 4.718
Sb 0.000 0.000 0.187
Cd 1.304 1.687 2.452
```

***

Look up the spin magnetization of the third one.
0.00 μB per formula unit

***

Among the records above, which one has the highest calculated volume?
Cd12SbPb16

***

What did the eighth record say?
CdSb2Pb after structural relaxation, computed with GGA-PBE.

The spin magnetization comes out at 0.00 μB per formula unit. For the uncorrected energy, the calculation gives -3.10 eV per atom. The calculation puts the uncorrected formation energy at 117 meV per atom. Its symmetry is No. 65. Its density of states at the Fermi level is 0.368 states/eV per atom. As for the calculated volume: 111.3 Å³ per cell.

Structure (extended XYZ):
```
4
Lattice="3.410 0.059 0.000 -0.802 3.315 0.000 0.000 0.000 9.809" Properties=species:S:1:pos:R:3 pbc="T T T"
Pb 1.304 1.687 7.357
Sb 0.000 0.000 4.718
Sb 0.000 0.000 0.187
Cd 1.304 1.687 2.452
```